Record 1
This record from the Alexandria database describes a relaxed structure of NdAlP2O8. The functional is PBE.

Unit cell a=4.9658 b=4.9658 c=6.6584 alpha=90.00 beta=90.00 gamma=120.00
Space group P-3 (No. 147)
One atom of each set of equivalent atoms:
Nd (0.0000, 0.0000, 0.0000) x1
Al (0.0000, 0.0000, 0.5000) x1
P (0.3333, 0.6667, 0.7501) x2
O (0.1075, 0.3314, 0.6802) x6
O (0.3333, 0.6667, 0.9819) x2

Its formation energy without anion corrections is -2752.8 meV per atom. For the energy, the calculation gives -92.0 eV per cell. As for the crystal system: trigonal. The calculation puts the total magnetization at 0.0 μB per cell.

=====

Record 2
This record from the Alexandria database describes a relaxed structure of NdPaAl2O8. The functional is PBE.

Unit cell a=7.0628 b=7.0628 c=6.6122 alpha=90.00 beta=90.00 gamma=90.00
Space group I-4m2 (No. 119)
One atom of each set of equivalent atoms:
Nd (0.0000, 0.0000, 0.0000) x2
Pa (0.0000, 0.5000, 0.7500) x2
Al (0.0000, 0.0000, 0.5000) x2
Al (0.0000, 0.5000, 0.2500) x2
O (0.0000, 0.1915, 0.6771) x8
O (0.0000, 0.3258, 0.0607) x8

Its formation energy without anion corrections is -2812.7 meV per atom. For the energy, the calculation gives -190.3 eV per cell. As for the crystal system: tetragonal. The calculation puts the total magnetization at 2.2 μB per cell.

=====

Record 3
This record from the Alexandria database describes a relaxed structure of PmNd12Al4O3. The functional is PBE.

Unit cell a=10.1497 b=10.1497 c=10.1497 alpha=90.00 beta=90.00 gamma=90.00
Space group Im-3m (No. 229)
One atom of each set of equivalent atoms:
Pm (0.0000, 0.0000, 0.0000) x2
Nd (0.0000, 0.0000, 0.2715) x12
Nd (0.0000, 0.2500, 0.5000) x12
Al (0.2500, 0.2500, 0.2500) x8
O (0.0000, 0.0000, 0.5000) x6

Its formation energy without anion corrections is -676.6 meV per atom. For the energy, the calculation gives -210.7 eV per cell. As for the crystal system: cubic. The calculation puts the total magnetization at 1.2 μB per cell.

=====

Record 4
This record from the Alexandria database describes a relaxed structure of Pm12NdAl4O3. The functional is PBE.

Unit cell a=10.0763 b=10.0763 c=10.0763 alpha=90.00 beta=90.00 gamma=90.00
Space group Im-3m (No. 229)
One atom of each set of equivalent atoms:
Pm (0.0000, 0.0000, 0.2722) x12
Pm (0.0000, 0.2500, 0.5000) x12
Nd (0.0000, 0.0000, 0.0000) x2
Al (0.2500, 0.2500, 0.2500) x8
O (0.0000, 0.0000, 0.5000) x6

Its formation energy without anion corrections is -688.1 meV per atom. For the energy, the calculation gives -210.8 eV per cell. As for the crystal system: cubic. The calculation puts the total magnetization at 1.4 μB per cell.

=====

Record 5
This record from the Alexandria database describes a relaxed structure of Pr2NdAlO. The functional is PBE.

Unit cell a=4.9825 b=4.9825 c=4.9301 alpha=90.00 beta=90.00 gamma=90.00
Space group P4/mmm (No. 123)
One atom of each set of equivalent atoms:
Pr (0.0000, 0.5000, 0.0000) x2
Nd (0.0000, 0.0000, 0.5000) x1
Al (0.5000, 0.5000, 0.5000) x1
O (0.0000, 0.0000, 0.0000) x1

Its formation energy without anion corrections is -1300.6 meV per atom. For the energy, the calculation gives -29.5 eV per cell. As for the crystal system: tetragonal. The calculation puts the total magnetization at 0.0 μB per cell.

=====

Record 6
This record from the Alexandria database describes a relaxed structure of PrNd12Al4O3. The functional is PBE.

Unit cell a=10.1779 b=10.1779 c=10.1779 alpha=90.00 beta=90.00 gamma=90.00
Space group Im-3m (No. 229)
One atom of each set of equivalent atoms:
Pr (0.0000, 0.0000, 0.0000) x2
Nd (0.0000, 0.0000, 0.2727) x12
Nd (0.0000, 0.2500, 0.5000) x12
Al (0.2500, 0.2500, 0.2500) x8
O (0.0000, 0.0000, 0.5000) x6

Its formation energy without anion corrections is -677.4 meV per atom. For the energy, the calculation gives -210.8 eV per cell. As for the crystal system: cubic. The calculation puts the total magnetization at 1.4 μB per cell.